1.
Ta2AlAs2 | PBE | optimized geometry

Geometry as POSCAR:
```
Ta2AlAs2
1.0
7.247 0.000 0.000
0.000 7.247 0.000
0.000 0.000 3.275
As Ta Al
4 4 2
Cartesian
6.217 4.654 0.000
1.030 2.593 0.000
2.593 6.217 0.000
4.654 1.030 0.000
4.743 6.128 1.637
2.504 1.119 1.637
1.119 4.743 1.637
6.128 2.504 1.637
0.000 0.000 0.000
3.624 3.624 0.000
```

Properties
For the theoretical density, the calculation gives 10.40 g/cm³. As for the symmetry: No. 127. The calculation puts the calculated formation energy at -69 meV per atom.

=====

2.
K2TiO | PBE | optimized geometry

Geometry as POSCAR:
```
K2TiO
1.0
-8.295 -4.155 -8.034
8.915 -5.596 -6.310
0.070 -6.460 -6.106
K O Ti
4 2 2
Cartesian
-0.999 -12.376 -16.002
3.069 -6.375 -7.912
1.880 -9.502 -11.087
-2.569 -4.168 -5.900
0.310 -4.875 -7.172
4.648 -8.466 -9.794
0.000 0.000 0.000
-3.957 -7.745 -10.656
```

Properties
For the theoretical density, the calculation gives 1.63 g/cm³. As for the symmetry: No. 122. The value obtained for the formation energy without anion corrections is -2.9 eV/f.u.

=====

3.
Ga2BiRuO | PBE | optimized geometry

Geometry as POSCAR:
```
Ga2BiRuO
1.0
-3.931 1.635 -0.134
0.062 -0.242 -4.770
-1.639 -3.927 0.178
Bi Ru Ga O
1 1 2 1
Cartesian
0.031 -0.121 -2.385
-2.754 -1.267 -2.363
-0.820 -1.964 0.089
-1.965 0.817 -0.067
0.000 0.000 0.000
```

Properties
For the theoretical density, the calculation gives 8.92 g/cm³. As for the symmetry: No. 123. The value obtained for the formation energy without anion corrections is 0.7 eV/f.u.